Entry 1:
# Al2GaNi9

Al2GaNi9 after structural relaxation (PBE-GGA, Alexandria).

## Properties
The space group is No. 123. For the density of states at the Fermi level, the calculation gives 11.4 states/eV/cell. The electronic total energy is -5.5959 eV per atom. The formation enthalpy at 0 K comes out at -383.9 meV/atom. Its total magnetization is 2.22 μB/cell.

Lattice parameters (Å, degrees): 3.5700 3.5700 10.7148 90.00 90.00 90.00
Atoms (fractional coordinates):
Al1 0.0000 0.0000 0.1662
Al2 0.0000 0.0000 0.8338
Ga1 0.0000 0.0000 0.5000
Ni1 0.0000 0.5000 0.0000
Ni2 0.0000 0.5000 0.3320
Ni3 0.0000 0.5000 0.6680
Ni4 0.5000 0.0000 0.0000
Ni5 0.5000 0.0000 0.3320
Ni6 0.5000 0.0000 0.6680
Ni7 0.5000 0.5000 0.1659
Ni8 0.5000 0.5000 0.5000
Ni9 0.5000 0.5000 0.8341

Entry 2:
# AlTlCo2

AlTlCo2 after structural relaxation (PBE-GGA, Alexandria).

## Properties
The space group is No. 216. For the density of states at the Fermi level, the calculation gives 6.1 states/eV/cell. The electronic total energy is -4.6311 eV per atom. The formation enthalpy at 0 K comes out at 449.0 meV/atom. For the energy above the lowest structure with this stoichiometry, the calculation gives 373 meV/atom. Its total magnetization is 2.26 μB/cell.

Lattice parameters (Å, degrees): 4.3695 4.3695 4.3695 60.00 60.00 60.00
Atoms (fractional coordinates):
Al1 0.0000 0.0000 0.0000
Tl1 0.7500 0.7500 0.7500
Co1 0.2500 0.2500 0.2500
Co2 0.5000 0.5000 0.5000

Entry 3:
# CaB3Pt

CaB3Pt after structural relaxation (PBE-GGA, Alexandria).

## Properties
The space group is No. 221. For the density of states at the Fermi level, the calculation gives 4.2 states/eV/cell. The electronic total energy is -2.7372 eV per atom. The formation enthalpy at 0 K comes out at 2877.7 meV/atom. For the energy above the lowest structure with this stoichiometry, the calculation gives 2157 meV/atom. Its total magnetization is 0.00 μB/cell.

Lattice parameters (Å, degrees): 4.3686 4.3686 4.3686 90.00 90.00 90.00
Atoms (fractional coordinates):
Ca1 0.0000 0.0000 0.0000
B1 0.0000 0.0000 0.5000
B2 0.0000 0.5000 0.0000
B3 0.5000 0.0000 0.0000
Pt1 0.5000 0.5000 0.5000

Entry 4:
# LiErPb

LiErPb after structural relaxation (PBE-GGA, Alexandria).

## Properties
The space group is No. 129. For the density of states at the Fermi level, the calculation gives 1.2 states/eV/cell. The electronic total energy is -3.8321 eV per atom. The formation enthalpy at 0 K comes out at -437.1 meV/atom. Its total magnetization is 0.00 μB/cell.

Lattice parameters (Å, degrees): 4.4228 4.4228 7.4556 90.00 90.00 90.00
Atoms (fractional coordinates):
Li1 0.2500 0.7500 0.0000
Li2 0.7500 0.2500 0.0000
Er1 0.2500 0.2500 0.3329
Er2 0.7500 0.7500 0.6671
Pb1 0.2500 0.2500 0.7547
Pb2 0.7500 0.7500 0.2453

Entry 5:
# DyEr3Os

DyEr3Os after structural relaxation (PBE-GGA, Alexandria).

## Properties
The space group is No. 221. For the density of states at the Fermi level, the calculation gives 7.0 states/eV/cell. The electronic total energy is -5.8926 eV per atom. The formation enthalpy at 0 K comes out at 11.5 meV/atom. For the energy above the lowest structure with this stoichiometry, the calculation gives 148 meV/atom. Its total magnetization is 0.06 μB/cell.

Lattice parameters (Å, degrees): 5.3764 5.3764 5.3764 90.00 90.00 90.00
Atoms (fractional coordinates):
Dy1 0.0000 0.0000 0.0000
Er1 0.0000 0.5000 0.5000
Er2 0.5000 0.0000 0.5000
Er3 0.5000 0.5000 0.0000
Os1 0.5000 0.5000 0.5000

Entry 6:
# GaSbI2N

GaSbI2N after structural relaxation (PBE-GGA, Alexandria).

## Properties
The space group is No. 123. For the density of states at the Fermi level, the calculation gives 3.1 states/eV/cell. The electronic total energy is -2.9370 eV per atom. For the energy above the lowest structure with this stoichiometry, the calculation gives 352 meV/atom. Its total magnetization is 0.00 μB/cell. For the raw formation energy, the calculation gives 0.778 eV/atom.

Lattice parameters (Å, degrees): 5.0182 5.0182 4.9431 90.00 90.00 90.00
Atoms (fractional coordinates):
Ga1 0.0000 0.0000 0.0000
Sb1 0.5000 0.5000 0.0000
I1 0.0000 0.5000 0.5000
I2 0.5000 0.0000 0.5000
N1 0.5000 0.5000 0.5000